Compound: PrCrSe3
Source: Alexandria
Functional: PBE
Structure: relaxed

Computed properties:
- E_tot (eV per atom) = -6.186
- DOS(E_F) (states/eV per atom) = 0.021
- E_form (uncorrected) (eV/f.u.) = -6.075
- V (Å³/cell) = 449.7
- M_tot (μB/f.u.) = 3.0

abc: 3.983 8.201 13.769
angles: 90.00 90.00 90.00
Last column: magnetic moment on the atom in μB.
Fractional coordinates of all 20 atoms:
Cr 0.750 0.337 0.450  2.97
Pr 0.750 0.595 0.828  0.01
Se 0.250 0.010 0.107  -0.10
Se 0.750 0.690 0.212  -0.03
Pr 0.250 0.405 0.172  0.01
Se 0.250 0.657 0.995  -0.07
Se 0.250 0.157 0.505  -0.07
Se 0.250 0.510 0.393  -0.10
Se 0.250 0.310 0.788  -0.03
Cr 0.250 0.163 0.950  2.97
Se 0.750 0.843 0.495  -0.07
Pr 0.750 0.095 0.672  0.01
Cr 0.250 0.663 0.550  2.97
Se 0.750 0.490 0.607  -0.10
Cr 0.750 0.837 0.050  2.97
Se 0.750 0.190 0.288  -0.03
Se 0.750 0.343 0.005  -0.07
Se 0.250 0.810 0.712  -0.03
Se 0.750 0.990 0.893  -0.10
Pr 0.250 0.905 0.328  0.01